Run A
{"formula": "CrBW3", "functional": "PBE", "state": "optimized geometry", "crystal_system": "cubic", "space_group": "No. 221", "magmom_total_mub_per_cell": 0.000, "vol_a3_per_cell": 88, "cell": [[4.4435, 0.0000, 0.0000], [0.0000, 4.4435, 0.0000], [0.0000, 0.0000, 4.4435]], "species": ["Cr", "B", "W", "W", "W"], "fractional_positions": [[0.0000, 0.0000, 0.0000], [0.5000, 0.5000, 0.5000], [0.0000, 0.0000, 0.5000], [0.0000, 0.5000, 0.0000], [0.5000, 0.0000, 0.0000]]}

---

Run B
{"formula": "CrBW3", "functional": "PBE", "state": "optimized geometry", "crystal_system": "cubic", "space_group": "No. 221", "magmom_total_mub_per_cell": 0.000, "vol_a3_per_cell": 72, "cell": [[4.1629, 0.0000, 0.0000], [0.0000, 4.1629, 0.0000], [0.0000, 0.0000, 4.1629]], "species": ["Cr", "B", "W", "W", "W"], "fractional_positions": [[0.0000, 0.0000, 0.0000], [0.5000, 0.5000, 0.5000], [0.0000, 0.5000, 0.5000], [0.5000, 0.0000, 0.5000], [0.5000, 0.5000, 0.0000]]}

---

Which of them is the least stable? Correct choice: run A.

---

Run A
{"formula": "YCrB2", "functional": "PBE", "state": "optimized geometry", "crystal_system": "cubic", "space_group": "No. 225", "magmom_total_mub_per_cell": 2.785, "vol_a3_per_cell": 52, "cell": [[0.0000, 2.9544, 2.9544], [2.9544, 0.0000, 2.9544], [2.9544, 2.9544, 0.0000]], "species": ["Y", "Cr", "B", "B"], "fractional_positions": [[0.0000, 0.0000, 0.0000], [0.5000, 0.5000, 0.5000], [0.2500, 0.2500, 0.2500], [0.7500, 0.7500, 0.7500]]}

---

Run B
{"formula": "YCrB2", "functional": "PBE", "state": "optimized geometry", "crystal_system": "tetragonal", "space_group": "No. 141", "magmom_total_mub_per_cell": 1.394, "vol_a3_per_cell": 116, "cell": [[-2.0558, 2.0558, 6.8812], [2.0558, -2.0558, 6.8812], [2.0558, 2.0558, -6.8812]], "species": ["Y", "Y", "Cr", "Cr", "B", "B", "B", "B"], "fractional_positions": [[0.3750, 0.6250, 0.7500], [0.6250, 0.3750, 0.2500], [0.1250, 0.8750, 0.2500], [0.8750, 0.1250, 0.7500], [0.0000, 0.0000, 0.0000], [0.0000, 0.0000, 0.5000], [0.0000, 0.5000, 0.0000], [0.5000, 0.0000, 0.5000]]}

---

Which of them is the least stable? Correct choice: run A.

---

Run A
{"formula": "ZnCrB3", "functional": "PBE", "state": "optimized geometry", "crystal_system": "cubic", "space_group": "No. 221", "magmom_total_mub_per_cell": 0.004, "vol_a3_per_cell": 58, "cell": [[3.8667, 0.0000, 0.0000], [0.0000, 3.8667, 0.0000], [0.0000, 0.0000, 3.8667]], "species": ["Zn", "Cr", "B", "B", "B"], "fractional_positions": [[0.0000, 0.0000, 0.0000], [0.5000, 0.5000, 0.5000], [0.0000, 0.5000, 0.5000], [0.5000, 0.0000, 0.5000], [0.5000, 0.5000, 0.0000]]}

---

Run B
{"formula": "ZnCrB3", "functional": "PBE", "state": "optimized geometry", "crystal_system": "cubic", "space_group": "No. 221", "magmom_total_mub_per_cell": 0.167, "vol_a3_per_cell": 57, "cell": [[3.8391, 0.0000, 0.0000], [0.0000, 3.8391, 0.0000], [0.0000, 0.0000, 3.8391]], "species": ["Zn", "Cr", "B", "B", "B"], "fractional_positions": [[0.0000, 0.0000, 0.0000], [0.5000, 0.5000, 0.5000], [0.0000, 0.0000, 0.5000], [0.0000, 0.5000, 0.0000], [0.5000, 0.0000, 0.0000]]}

---

Which of them is the least stable? Correct choice: run B.

---

Run A
{"formula": "Zn3CrB", "functional": "PBE", "state": "optimized geometry", "crystal_system": "cubic", "space_group": "No. 221", "magmom_total_mub_per_cell": 3.594, "vol_a3_per_cell": 114, "cell": [[4.8444, 0.0000, 0.0000], [0.0000, 4.8444, 0.0000], [0.0000, 0.0000, 4.8444]], "species": ["Zn", "Zn", "Zn", "Cr", "B"], "fractional_positions": [[0.0000, 0.0000, 0.5000], [0.0000, 0.5000, 0.0000], [0.5000, 0.0000, 0.0000], [0.0000, 0.0000, 0.0000], [0.5000, 0.5000, 0.5000]]}

---

Run B
{"formula": "Zn3CrB", "functional": "PBE", "state": "optimized geometry", "crystal_system": "cubic", "space_group": "No. 221", "magmom_total_mub_per_cell": 0.058, "vol_a3_per_cell": 68, "cell": [[4.0717, 0.0000, 0.0000], [0.0000, 4.0717, 0.0000], [0.0000, 0.0000, 4.0717]], "species": ["Zn", "Zn", "Zn", "Cr", "B"], "fractional_positions": [[0.0000, 0.0000, 0.5000], [0.0000, 0.5000, 0.0000], [0.5000, 0.0000, 0.0000], [0.5000, 0.5000, 0.5000], [0.0000, 0.0000, 0.0000]]}

---

Which of them is the least stable? Correct choice: run A.

---

Run A
{"formula": "ZnCr2B", "functional": "PBE", "state": "optimized geometry", "crystal_system": "cubic", "space_group": "No. 225", "magmom_total_mub_per_cell": 4.802, "vol_a3_per_cell": 45, "cell": [[0.0000, 2.8313, 2.8313], [2.8313, 0.0000, 2.8313], [2.8313, 2.8313, 0.0000]], "species": ["Zn", "Cr", "Cr", "B"], "fractional_positions": [[0.0000, 0.0000, 0.0000], [0.2500, 0.2500, 0.2500], [0.7500, 0.7500, 0.7500], [0.5000, 0.5000, 0.5000]]}

---

Run B
{"formula": "ZnCr2B", "functional": "PBE", "state": "optimized geometry", "crystal_system": "tetragonal", "space_group": "No. 122", "magmom_total_mub_per_cell": 0.000, "vol_a3_per_cell": 94, "cell": [[-1.6728, 1.6728, 8.3607], [1.6728, -1.6728, 8.3607], [1.6728, 1.6728, -8.3607]], "species": ["Zn", "Zn", "Cr", "Cr", "Cr", "Cr", "B", "B"], "fractional_positions": [[0.0000, 0.0000, 0.0000], [0.7500, 0.2500, 0.5000], [0.1641, 0.6250, 0.0391], [0.3750, 0.4141, 0.5391], [0.5859, 0.1250, 0.9609], [0.8750, 0.8359, 0.4609], [0.2500, 0.7500, 0.5000], [0.5000, 0.5000, 0.0000]]}

---

Which of them is the least stable? Correct choice: run B.

---

Run A
{"formula": "ZrCrB2", "functional": "PBE", "state": "optimized geometry", "crystal_system": "tetragonal", "space_group": "No. 141", "magmom_total_mub_per_cell": 0.000, "vol_a3_per_cell": 104, "cell": [[-1.9356, 1.9356, 6.9117], [1.9356, -1.9356, 6.9117], [1.9356, 1.9356, -6.9117]], "species": ["Zr", "Zr", "Cr", "Cr", "B", "B", "B", "B"], "fractional_positions": [[0.3750, 0.6250, 0.7500], [0.6250, 0.3750, 0.2500], [0.1250, 0.8750, 0.2500], [0.8750, 0.1250, 0.7500], [0.0000, 0.0000, 0.0000], [0.0000, 0.0000, 0.5000], [0.0000, 0.5000, 0.0000], [0.5000, 0.0000, 0.5000]]}

---

Run B
{"formula": "ZrCrB2", "functional": "PBE", "state": "optimized geometry", "crystal_system": "trigonal", "space_group": "No. 166", "magmom_total_mub_per_cell": 0.000, "vol_a3_per_cell": 46, "cell": [[1.6581, 0.9573, 4.8610], [-1.6581, 0.9573, 4.8610], [0.0000, -1.9146, 4.8610]], "species": ["Zr", "Cr", "B", "B"], "fractional_positions": [[0.0000, 0.0000, 0.0000], [0.5000, 0.5000, 0.5000], [0.2294, 0.2294, 0.2294], [0.7706, 0.7706, 0.7706]]}

---

Run C
{"formula": "ZrCrB2", "functional": "PBE", "state": "optimized geometry", "crystal_system": "cubic", "space_group": "No. 225", "magmom_total_mub_per_cell": 1.682, "vol_a3_per_cell": 45, "cell": [[0.0000, 2.8321, 2.8321], [2.8321, 0.0000, 2.8321], [2.8321, 2.8321, 0.0000]], "species": ["Zr", "Cr", "B", "B"], "fractional_positions": [[0.0000, 0.0000, 0.0000], [0.5000, 0.5000, 0.5000], [0.2500, 0.2500, 0.2500], [0.7500, 0.7500, 0.7500]]}

---

Which of them is the least stable? Correct choice: run C.

---

Run A
{"formula": "ZrCrB3", "functional": "PBE", "state": "optimized geometry", "crystal_system": "orthorhombic", "space_group": "No. 63", "magmom_total_mub_per_cell": 1.919, "vol_a3_per_cell": 97, "cell": [[1.6951, -9.3285, 0.0000], [1.6951, 9.3285, 0.0000], [0.0000, 0.0000, 3.0772]], "species": ["Zr", "Zr", "Cr", "Cr", "B", "B", "B", "B", "B", "B"], "fractional_positions": [[0.0751, 0.9249, 0.7500], [0.9249, 0.0751, 0.2500], [0.2065, 0.7935, 0.2500], [0.7935, 0.2065, 0.7500], [0.3232, 0.6768, 0.2500], [0.3732, 0.6268, 0.7500], [0.4756, 0.5244, 0.7500], [0.5244, 0.4756, 0.2500], [0.6268, 0.3732, 0.2500], [0.6768, 0.3232, 0.7500]]}

---

Run B
{"formula": "ZrCrB3", "functional": "PBE", "state": "optimized geometry", "crystal_system": "cubic", "space_group": "No. 221", "magmom_total_mub_per_cell": 3.304, "vol_a3_per_cell": 80, "cell": [[4.3104, 0.0000, 0.0000], [0.0000, 4.3104, 0.0000], [0.0000, 0.0000, 4.3104]], "species": ["Zr", "Cr", "B", "B", "B"], "fractional_positions": [[0.0000, 0.0000, 0.0000], [0.5000, 0.5000, 0.5000], [0.0000, 0.0000, 0.5000], [0.0000, 0.5000, 0.0000], [0.5000, 0.0000, 0.0000]]}

---

Which of them is the least stable? Correct choice: run B.

---

Run A
{"formula": "CsB", "functional": "PBE", "state": "optimized geometry", "crystal_system": "cubic", "space_group": "No. 225", "magmom_total_mub_per_cell": 1.981, "vol_a3_per_cell": 88, "cell": [[0.0000, 3.5258, 3.5258], [3.5258, 0.0000, 3.5258], [3.5258, 3.5258, 0.0000]], "species": ["Cs", "B"], "fractional_positions": [[0.0000, 0.0000, 0.0000], [0.5000, 0.5000, 0.5000]]}

---

Run B
{"formula": "CsB", "functional": "PBE", "state": "optimized geometry", "crystal_system": "tetragonal", "space_group": "No. 136", "magmom_total_mub_per_cell": 4.069, "vol_a3_per_cell": 360, "cell": [[7.4936, 0.0000, 0.0000], [0.0000, 7.4936, 0.0000], [0.0000, 0.0000, 6.4041]], "species": ["Cs", "Cs", "Cs", "Cs", "B", "B", "B", "B"], "fractional_positions": [[0.1959, 0.1959, 0.0000], [0.3041, 0.6959, 0.5000], [0.6959, 0.3041, 0.5000], [0.8041, 0.8041, 0.0000], [0.0745, 0.0745, 0.5000], [0.4255, 0.5745, 0.0000], [0.5745, 0.4255, 0.0000], [0.9255, 0.9255, 0.5000]]}

---

Run C
{"formula": "CsB", "functional": "PBE", "state": "optimized geometry", "crystal_system": "tetragonal", "space_group": "No. 139", "magmom_total_mub_per_cell": 0.004, "vol_a3_per_cell": 291, "cell": [[-6.6398, 6.6398, 1.6511], [6.6398, -6.6398, 1.6511], [6.6398, 6.6398, -1.6511]], "species": ["Cs", "Cs", "Cs", "Cs", "B", "B", "B", "B"], "fractional_positions": [[0.0000, 0.2495, 0.2495], [0.0000, 0.7505, 0.7505], [0.2495, 0.0000, 0.2495], [0.7505, 0.0000, 0.7505], [0.2518, 0.2518, 0.5036], [0.2518, 0.7482, 0.0000], [0.7482, 0.2518, 0.0000], [0.7482, 0.7482, 0.4964]]}

---

Run D
{"formula": "CsB", "functional": "PBE", "state": "optimized geometry", "crystal_system": "orthorhombic", "space_group": "No. 19", "magmom_total_mub_per_cell": 0.000, "vol_a3_per_cell": 1035, "cell": [[6.1408, 0.0000, 0.0000], [0.0000, 10.1616, 0.0000], [0.0000, 0.0000, 16.5798]], "species": ["Cs", "Cs", "Cs", "Cs", "Cs", "Cs", "Cs", "Cs", "B", "B", "B", "B", "B", "B", "B", "B"], "fractional_positions": [[0.2496, 0.0412, 0.0557], [0.2504, 0.3862, 0.6686], [0.2496, 0.6138, 0.1686], [0.2504, 0.9588, 0.5557], [0.7504, 0.1138, 0.3314], [0.7496, 0.4588, 0.9443], [0.7504, 0.5412, 0.4443], [0.7496, 0.8862, 0.8314], [0.0156, 0.7492, 0.9989], [0.2339, 0.2575, 0.4900], [0.2661, 0.7425, 0.9900], [0.4844, 0.2508, 0.4989], [0.5157, 0.7508, 0.0011], [0.7339, 0.2425, 0.5100], [0.7661, 0.7575, 0.0100], [0.9844, 0.2492, 0.5011]]}

---

Which of them is the least stable? Correct choice: run A.

---

Run A
{"formula": "CsB", "functional": "PBE", "state": "optimized geometry", "crystal_system": "hexagonal", "space_group": "No. 194", "magmom_total_mub_per_cell": 0.000, "vol_a3_per_cell": 441, "cell": [[12.4149, 0.0000, 0.0000], [-6.2075, 10.7516, 0.0000], [0.0000, 0.0000, 3.3058]], "species": ["Cs", "Cs", "Cs", "Cs", "Cs", "Cs", "B", "B", "B", "B", "B", "B"], "fractional_positions": [[0.2028, 0.4055, 0.2500], [0.2028, 0.7972, 0.2500], [0.4055, 0.2028, 0.7500], [0.5945, 0.7972, 0.2500], [0.7972, 0.2028, 0.7500], [0.7972, 0.5945, 0.7500], [0.0036, 0.5018, 0.7500], [0.4982, 0.5018, 0.7500], [0.4982, 0.9964, 0.7500], [0.5018, 0.0036, 0.2500], [0.5018, 0.4982, 0.2500], [0.9964, 0.4982, 0.2500]]}

---

Run B
{"formula": "CsB", "functional": "PBE", "state": "optimized geometry", "crystal_system": "hexagonal", "space_group": "No. 194", "magmom_total_mub_per_cell": 4.010, "vol_a3_per_cell": 211, "cell": [[6.1190, 0.0000, 0.0000], [-3.0595, 5.2992, 0.0000], [0.0000, 0.0000, 6.4935]], "species": ["Cs", "Cs", "B", "B"], "fractional_positions": [[0.3333, 0.6667, 0.2500], [0.6667, 0.3333, 0.7500], [0.3333, 0.6667, 0.7500], [0.6667, 0.3333, 0.2500]]}

---

Which of them is the least stable? Correct choice: run B.